# PBE Ac8InSn2, optimized geometry
# energy of formation from the pure elements: -313 kJ/mol of formula units
# magnetization: 0.0 μB per cell
# N(E_F): 12.21 states/eV/f.u.
data_Ac8InSn2
_chemical_formula_sum 'Ac8 In1 Sn2'
_cell_length_a 5.631
_cell_length_b 7.597
_cell_length_c 10.951
_cell_angle_alpha 102.81
_cell_angle_beta 104.90
_cell_angle_gamma 90.00
_symmetry_space_group_name_H-M 'P 1'
_symmetry_Int_Tables_number 1
_symmetry_space_group_name_Hall 'P 1'
loop_
_atom_site_label
_atom_site_type_symbol
_atom_site_fract_x
_atom_site_fract_y
_atom_site_fract_z
_atom_site_occupancy
Ac1 Ac 0.340 0.010 0.680 1
Sn1 Sn 0.183 0.755 0.366 1
Ac2 Ac 0.978 0.230 0.956 1
Ac3 Ac 0.211 0.327 0.422 1
In1 In 0.500 0.000 0.000 1
Ac4 Ac 0.022 0.770 0.044 1
Ac5 Ac 0.660 0.990 0.320 1
Sn2 Sn 0.817 0.245 0.634 1
Ac6 Ac 0.592 0.469 0.184 1
Ac7 Ac 0.408 0.531 0.816 1
Ac8 Ac 0.789 0.673 0.578 1

---

# PBE Ac3InSn3, optimized geometry
# energy of formation from the pure elements: -427 kJ/mol of formula units
# magnetization: 0.0 μB per cell
# N(E_F): 6.16 states/eV/f.u.
# energy above the lowest structure with this stoichiometry: 0 kJ/mol of formula units
data_Ac3InSn3
_chemical_formula_sum 'Ac6 In2 Sn6'
_cell_length_a 4.899
_cell_length_b 6.709
_cell_length_c 15.729
_cell_angle_alpha 81.32
_cell_angle_beta 81.04
_cell_angle_gamma 68.59
_symmetry_space_group_name_H-M 'P 1'
_symmetry_Int_Tables_number 1
_symmetry_space_group_name_Hall 'P 1'
loop_
_atom_site_label
_atom_site_type_symbol
_atom_site_fract_x
_atom_site_fract_y
_atom_site_fract_z
_atom_site_occupancy
Ac1 Ac 0.607 0.709 0.077 1
Sn1 Sn 0.008 0.207 0.777 1
Sn2 Sn 0.884 0.155 0.076 1
Ac2 Ac 0.267 0.239 0.227 1
Ac3 Ac 0.483 0.657 0.377 1
Sn3 Sn 0.116 0.845 0.924 1
In1 In 0.769 0.082 0.381 1
Ac4 Ac 0.393 0.291 0.923 1
In2 In 0.231 0.918 0.619 1
Ac5 Ac 0.517 0.343 0.623 1
Ac6 Ac 0.733 0.761 0.773 1
Sn4 Sn 0.992 0.793 0.223 1
Sn5 Sn 0.866 0.727 0.541 1
Sn6 Sn 0.134 0.273 0.459 1

---

# PBE Ac3In2Sn3, optimized geometry
# energy of formation from the pure elements: -383 kJ/mol of formula units
# magnetization: 0.0 μB per cell
# N(E_F): 3.33 states/eV/f.u.
# energy above the lowest structure with this stoichiometry: 0 kJ/mol of formula units
data_Ac3In2Sn3
_chemical_formula_sum 'Ac6 In4 Sn6'
_cell_length_a 5.226
_cell_length_b 6.576
_cell_length_c 16.440
_cell_angle_alpha 90.00
_cell_angle_beta 90.00
_cell_angle_gamma 113.41
_symmetry_space_group_name_H-M 'P 1'
_symmetry_Int_Tables_number 1
_symmetry_space_group_name_Hall 'P 1'
loop_
_atom_site_label
_atom_site_type_symbol
_atom_site_fract_x
_atom_site_fract_y
_atom_site_fract_z
_atom_site_occupancy
Ac1 Ac 0.551 0.103 0.750 1
In1 In 0.175 0.351 0.159 1
Ac2 Ac 0.354 0.707 0.533 1
Sn1 Sn 0.264 0.528 0.750 1
Ac3 Ac 0.354 0.707 0.967 1
Sn2 Sn 0.944 0.887 0.089 1
Ac4 Ac 0.449 0.897 0.250 1
Ac5 Ac 0.646 0.293 0.467 1
In2 In 0.825 0.649 0.841 1
Sn3 Sn 0.944 0.887 0.411 1
Sn4 Sn 0.736 0.472 0.250 1
In3 In 0.175 0.351 0.341 1
Sn5 Sn 0.056 0.113 0.589 1
Ac6 Ac 0.646 0.293 0.033 1
Sn6 Sn 0.056 0.113 0.911 1
In4 In 0.825 0.649 0.659 1

---

# PBE Ac6InSn3, optimized geometry
# energy of formation from the pure elements: -391 kJ/mol of formula units
# magnetization: 0.0 μB per cell
# N(E_F): 9.37 states/eV/f.u.
data_Ac6InSn3
_chemical_formula_sum 'Ac12 In2 Sn6'
_cell_length_a 7.969
_cell_length_b 10.167
_cell_length_c 10.167
_cell_angle_alpha 108.55
_cell_angle_beta 90.00
_cell_angle_gamma 90.00
_symmetry_space_group_name_H-M 'P 1'
_symmetry_Int_Tables_number 1
_symmetry_space_group_name_Hall 'P 1'
loop_
_atom_site_label
_atom_site_type_symbol
_atom_site_fract_x
_atom_site_fract_y
_atom_site_fract_z
_atom_site_occupancy
Ac1 Ac 0.273 0.959 0.041 1
In1 In 0.102 0.158 0.842 1
Ac2 Ac 0.101 0.321 0.240 1
Ac3 Ac 0.234 0.112 0.512 1
Ac4 Ac 0.734 0.512 0.112 1
Sn1 Sn 0.327 0.453 0.547 1
Sn2 Sn 0.443 0.995 0.737 1
In2 In 0.602 0.842 0.158 1
Ac5 Ac 0.601 0.679 0.760 1
Ac6 Ac 0.601 0.240 0.321 1
Sn3 Sn 0.943 0.737 0.995 1
Sn4 Sn 0.827 0.547 0.453 1
Sn5 Sn 0.443 0.263 0.005 1
Ac7 Ac 0.229 0.709 0.291 1
Ac8 Ac 0.734 0.888 0.488 1
Ac9 Ac 0.773 0.041 0.959 1
Ac10 Ac 0.234 0.488 0.888 1
Ac11 Ac 0.729 0.291 0.709 1
Ac12 Ac 0.101 0.760 0.679 1
Sn6 Sn 0.943 0.005 0.263 1

---

# PBE Ac6InSn2, optimized geometry
# energy of formation from the pure elements: -372 kJ/mol of formula units
# magnetization: 0.0 μB per cell
# N(E_F): 7.86 states/eV/f.u.
# energy above the lowest structure with this stoichiometry: 0 kJ/mol of formula units
data_Ac6InSn2
_chemical_formula_sum 'Ac12 In2 Sn4'
_cell_length_a 9.718
_cell_length_b 9.718
_cell_length_c 9.718
_cell_angle_alpha 107.49
_cell_angle_beta 110.19
_cell_angle_gamma 110.75
_symmetry_space_group_name_H-M 'P 1'
_symmetry_Int_Tables_number 1
_symmetry_space_group_name_Hall 'P 1'
loop_
_atom_site_label
_atom_site_type_symbol
_atom_site_fract_x
_atom_site_fract_y
_atom_site_fract_z
_atom_site_occupancy
Sn1 Sn 0.643 0.000 0.643 1
Ac1 Ac 0.286 0.615 0.330 1
Ac2 Ac 0.802 0.254 0.056 1
Ac3 Ac 0.443 0.266 0.177 1
Ac4 Ac 0.198 0.746 0.944 1
Ac5 Ac 0.911 0.734 0.177 1
Sn2 Sn 0.500 0.625 0.125 1
Ac6 Ac 0.714 0.044 0.330 1
Ac7 Ac 0.286 0.956 0.670 1
Ac8 Ac 0.802 0.746 0.548 1
Sn3 Sn 0.500 0.375 0.875 1
Ac9 Ac 0.089 0.266 0.823 1
In1 In 0.000 0.500 0.500 1
Ac10 Ac 0.714 0.385 0.670 1
Ac11 Ac 0.198 0.254 0.452 1
In2 In 0.000 0.000 0.000 1
Ac12 Ac 0.557 0.734 0.823 1
Sn4 Sn 0.357 0.000 0.357 1

---

# PBE Ac6InSn, optimized geometry
# energy of formation from the pure elements: -14 kJ/mol of formula units
# magnetization: 0.0 μB per cell
# N(E_F): 11.88 states/eV/f.u.
data_Ac6InSn
_chemical_formula_sum 'Ac6 In1 Sn1'
_cell_length_a 7.763
_cell_length_b 7.732
_cell_length_c 7.741
_cell_angle_alpha 60.04
_cell_angle_beta 76.68
_cell_angle_gamma 62.54
_symmetry_space_group_name_H-M 'P 1'
_symmetry_Int_Tables_number 1
_symmetry_space_group_name_Hall 'P 1'
loop_
_atom_site_label
_atom_site_type_symbol
_atom_site_fract_x
_atom_site_fract_y
_atom_site_fract_z
_atom_site_occupancy
Ac1 Ac 0.246 0.535 0.397 1
In1 In 0.000 0.000 0.000 1
Ac2 Ac 0.751 0.743 0.000 1
Ac3 Ac 0.754 0.067 0.397 1
Sn1 Sn 0.500 0.500 0.000 1
Ac4 Ac 0.249 0.257 0.000 1
Ac5 Ac 0.754 0.465 0.603 1
Ac6 Ac 0.246 0.933 0.603 1